1.
Compound: KZrMo
Source: Alexandria
Functional: PBE-GGA
Structure: optimized geometry

Unit cell a=9.0772 b=9.0772 c=9.0772 alpha=161.62 beta=161.62 gamma=26.11
Closest atoms and distances in Å follow each position.
Fractional coordinates of all 3 atoms:
K1 0.0000 0.0000 0.0000  4 K 2.90
Zr1 0.2969 0.2969 0.0000  4 Zr 2.90, 4 Mo 2.99
Mo1 0.6736 0.6736 0.0000  4 Mo 2.90, 4 Zr 2.99

ΔH_f (0 K): 0.907 eV per atom

=====

2.
Compound: Mn2NiH3
Source: Alexandria
Functional: PBE-GGA
Structure: optimized geometry

Unit cell a=6.3214 b=6.3191 c=2.6257 alpha=78.06 beta=77.96 gamma=23.98
Closest atoms and distances in Å follow each position.
Fractional coordinates of all 6 atoms:
Mn1 0.1622 0.1622 0.8378  6 H 1.87-1.96
Mn2 0.8378 0.8378 0.1622  6 H 1.87-1.96
Ni1 0.5000 0.5000 0.5000  4 H 1.85-1.86
H1 0.0000 0.0000 0.0000  4 Ni 1.85-1.86, 2 Mn 1.96
H2 0.3183 0.3183 0.6817  5 Mn 1.87-1.89
H3 0.6817 0.6817 0.3183  5 Mn 1.87-1.89

final energy: -34.3 eV per formula unit

=====

3.
Compound: CdInReTe2
Source: Alexandria
Functional: PBE-GGA
Structure: optimized geometry

Unit cell a=5.7685 b=5.7685 c=5.3318 alpha=90.00 beta=90.00 gamma=90.00
Closest atoms and distances in Å follow each position.
Fractional coordinates of all 5 atoms:
Cd1 0.0000 0.0000 0.0000  8 Te 3.93, 4 Re 4.08
In1 0.5000 0.5000 0.5000  2 Re 2.67, 4 Te 2.88
Re1 0.5000 0.5000 0.0000  2 In 2.67
Te1 0.0000 0.5000 0.5000  2 In 2.88
Te2 0.5000 0.0000 0.5000  2 In 2.88

raw formation energy: 1.389 eV/atom